1.
Compound: Li4Zn3
Source: the Alexandria database
Functional: GGA-PBEsol
Structure: relaxed

Crystal system = hexagonal

Cell: 4.9554 5.0287 5.0287 Å, 120.00 90.00 90.00°
Positions (direct):
1 Zn 0.0000 0.0000 0.5000
2 Zn 0.0000 0.5000 0.0000
3 Zn 0.0000 0.5000 0.5000
4 Li 0.7589 0.0000 0.0000
5 Li 0.2411 0.0000 0.0000
6 Li 0.5000 0.3333 0.6667
7 Li 0.5000 0.6667 0.3333

2.
Compound: Li4Zn5
Source: the Alexandria database
Functional: GGA-PBEsol
Structure: relaxed

Crystal system = tetragonal

Cell: 4.0583 5.9635 5.9635 Å, 83.35 70.11 70.11°
Positions (direct):
1 Zn 0.0000 0.0000 0.0000
2 Zn 0.6656 0.0000 0.6687
3 Zn 0.3344 0.0000 0.3313
4 Zn 0.6656 0.6687 0.0000
5 Zn 0.3344 0.3313 0.0000
6 Li 0.0000 0.6786 0.3214
7 Li 0.0000 0.3214 0.6786
8 Li 0.6786 0.3214 0.3214
9 Li 0.3214 0.6786 0.6786

3.
Compound: Li4Zn
Source: the Alexandria database
Functional: GGA-PBEsol
Structure: relaxed

Crystal system = tetragonal

Cell: 4.0763 4.9287 4.9287 Å, 80.15 65.57 65.57°
Positions (direct):
1 Zn 0.0000 0.0000 0.0000
2 Li 0.6053 0.1854 0.6041
3 Li 0.7907 0.6041 0.8146
4 Li 0.3947 0.8146 0.3959
5 Li 0.2093 0.3959 0.1854

4.
Compound: Li3Zn2
Source: the Alexandria database
Functional: GGA-PBEsol
Structure: relaxed

Crystal system = trigonal

Cell: 2.7558 2.7558 11.6152 Å, 83.19 83.19 60.00°
Positions (direct):
1 Zn 0.6014 0.6014 0.1957
2 Zn 0.3986 0.3986 0.8043
3 Li 0.0000 0.0000 0.0000
4 Li 0.2036 0.2036 0.3893
5 Li 0.7964 0.7964 0.6107

5.
Compound: Li2Zn
Source: the Alexandria database
Functional: GGA-PBEsol
Structure: relaxed

Crystal system = orthorhombic

Cell: 3.8390 4.0431 6.3510 Å, 90.00 107.59 90.00°
Positions (direct):
1 Zn 0.2500 0.7500 0.5000
2 Zn 0.7500 0.2500 0.5000
3 Li 0.5952 0.7500 0.1905
4 Li 0.9048 0.7500 0.8095
5 Li 0.0952 0.2500 0.1905
6 Li 0.4048 0.2500 0.8095

6.
Compound: LiZn2
Source: the Alexandria database
Functional: GGA-PBEsol
Structure: relaxed

Crystal system = hexagonal

Cell: 4.2708 4.2708 5.1224 Å, 90.00 90.00 120.00°
Positions (direct):
1 Zn 0.0000 0.0000 0.0000
2 Zn 0.0000 0.0000 0.5000
3 Zn 0.6667 0.3333 0.7500
4 Zn 0.3333 0.6667 0.2500
5 Li 0.3333 0.6667 0.7500
6 Li 0.6667 0.3333 0.2500

What did we get for total moment? Answer: 0.000, 0.000, 0.000, 0.000, 0.000, 0.000 μB/atom, in the order shown.
What did we get for energy of formation? Answer: -0.151, -0.146, -0.066, -0.065, -0.095, -0.138 eV/atom, in the order shown.